--- 1 ---
Below is crystalline DyZrMn at its relaxed geometry, with properties calculated at the GGA-PBE level.

Geometry as CIF:
```
data_DyZrMn
_space_group_name_H-M_alt 'I 4 m m'
_space_group_IT_number 107
_space_group_name_Hall 'I 4 -2'
_cell_length_a 3.471
_cell_length_b 3.471
_cell_length_c 11.014
_cell_angle_alpha 90.00
_cell_angle_beta 90.00
_cell_angle_gamma 90.00
loop_
_atom_site_label
_atom_site_type_symbol
_atom_site_fract_x
_atom_site_fract_y
_atom_site_fract_z
Dy1 Dy 0.000 0.000 0.000
Zr1 Zr 0.000 0.000 0.284
Mn1 Mn 0.000 0.000 0.679
```

- D(E_F): 1.332 states/eV per atom
- Magnetization: 0.4312 μB per atom



--- 2 ---
Below is crystalline DyZrMn at its relaxed geometry, with properties calculated at the GGA-PBE level.

Geometry as CIF:
```
data_DyZrMn
_space_group_name_H-M_alt 'P m m m'
_space_group_IT_number 47
_space_group_name_Hall '-P 2 2'
_cell_length_a 3.155
_cell_length_b 4.236
_cell_length_c 5.258
_cell_angle_alpha 90.00
_cell_angle_beta 90.00
_cell_angle_gamma 90.00
loop_
_atom_site_label
_atom_site_type_symbol
_atom_site_fract_x
_atom_site_fract_y
_atom_site_fract_z
Dy1 Dy 0.000 0.000 0.000
Zr1 Zr 0.000 0.500 0.500
Mn1 Mn 0.500 0.000 0.500
```

- D(E_F): 1.454 states/eV per atom
- Magnetization: 0.4701 μB per atom



Need the numbers? Relative energies in eV/atom: 1 0.000; 2 0.189.



--- 1 ---
Below is crystalline Dy2MoN4 at its relaxed geometry, with properties calculated at the GGA-PBE level.

Geometry as CIF:
```
data_Dy2MoN4
_space_group_name_H-M_alt 'P 1 21/m 1'
_space_group_IT_number 11
_space_group_name_Hall '-P 2yb'
_cell_length_a 5.777
_cell_length_b 5.928
_cell_length_c 6.564
_cell_angle_alpha 90.00
_cell_angle_beta 107.77
_cell_angle_gamma 90.00
loop_
_atom_site_label
_atom_site_type_symbol
_atom_site_fract_x
_atom_site_fract_y
_atom_site_fract_z
Dy1 Dy 0.169 0.250 0.027
Dy2 Dy 0.245 0.250 0.557
Mo1 Mo 0.282 0.750 0.812
N1 N 0.048 0.510 0.751
N2 N 0.471 0.750 0.091
N3 N 0.494 0.750 0.652
```

- Magnetization: 0.0000 μB per atom



--- 2 ---
Below is crystalline Dy2MoN4 at its relaxed geometry, with properties calculated at the GGA-PBE level.

Geometry as CIF:
```
data_Dy2MoN4
_space_group_name_H-M_alt 'F d d d'
_space_group_IT_number 70
_cell_length_a 6.538
_cell_length_b 10.371
_cell_length_c 12.407
_cell_angle_alpha 90.00
_cell_angle_beta 90.00
_cell_angle_gamma 90.00
loop_
_space_group_symop_operation_xyz
'x,y,z'
'-x,-y,-z'
'-x+1/4,-y+1/4,z'
'x+1/4,y+1/4,-z'
'x,-y+1/4,-z+1/4'
'-x,y+1/4,z+1/4'
'-x+1/4,y,-z+1/4'
'x+1/4,-y,z+1/4'
'x,y+1/2,z+1/2'
'-x,-y+1/2,-z+1/2'
'-x+1/4,-y+3/4,z+1/2'
'x+1/4,y+3/4,-z+1/2'
'x,-y+3/4,-z+3/4'
'-x,y+3/4,z+3/4'
'-x+1/4,y+1/2,-z+3/4'
'x+1/4,-y+1/2,z+3/4'
'x+1/2,y,z+1/2'
'-x+1/2,-y,-z+1/2'
'-x+3/4,-y+1/4,z+1/2'
'x+3/4,y+1/4,-z+1/2'
'x+1/2,-y+1/4,-z+3/4'
'-x+1/2,y+1/4,z+3/4'
'-x+3/4,y,-z+3/4'
'x+3/4,-y,z+3/4'
'x+1/2,y+1/2,z'
'-x+1/2,-y+1/2,-z'
'-x+3/4,-y+3/4,z'
'x+3/4,y+3/4,-z'
'x+1/2,-y+3/4,-z+1/4'
'-x+1/2,y+3/4,z+1/4'
'-x+3/4,y+1/2,-z+1/4'
'x+3/4,-y+1/2,z+1/4'
loop_
_atom_site_label
_atom_site_type_symbol
_atom_site_fract_x
_atom_site_fract_y
_atom_site_fract_z
Dy1 Dy 0.125 0.319 0.125
Mo1 Mo 0.125 0.125 0.625
N1 N 0.037 0.257 0.951
```

- Magnetization: 0.0000 μB per atom



Need the numbers? Relative energies in eV/atom: 1 0.097; 2 0.000.